(1)
This record from the Alexandria database describes a relaxed structure of SiTeSe2. The functional is PBE.

Lattice parameters (Å, degrees): 10.6410 3.5894 6.0558 90.00 103.59 90.00
With the nearest neighbours (Å) after each atom.
Space group Cm (No. 8)
Asymmetric unit:
Si 0.0000 0.0000 0.0000 [2 per cell]  4 Se 2.42-2.52, 1 Te 2.60
Te 0.1954 0.0000 0.3499 [2 per cell]  1 Si 2.60, 1 Se 2.65
Se 0.0350 0.5000 0.7541 [2 per cell]  2 Si 2.42
Se 0.3433 0.0000 0.0527 [2 per cell]  2 Si 2.52, 1 Te 2.65

Calculated values
For the spin magnetization, the calculation gives 0.000 μB/cell. The volume is 224.8 Å³ per cell. Its excess energy over the best structure of this formula in the dataset is 50 kJ/mol of formula units. For the formation energy from raw total energies, the calculation gives -55 meV per atom.

=====

(2)
This record from the Alexandria database describes a relaxed structure of SiTeSe2. The functional is PBE.

Lattice parameters (Å, degrees): 7.0079 7.0079 7.0079 90.00 90.00 90.00
With the nearest neighbours (Å) after each atom.
Space group Fm-3m (No. 225)
Asymmetric unit:
Si 0.0000 0.0000 0.0000 [4 per cell]  8 Se 3.03
Te 0.0000 0.0000 0.5000 [4 per cell]  8 Se 3.03
Se 0.2500 0.2500 0.2500 [8 per cell]  4 Si 3.03, 4 Te 3.03

Calculated values
For the spin magnetization, the calculation gives 0.000 μB/cell. The volume is 344.2 Å³ per cell. Its excess energy over the best structure of this formula in the dataset is 252 kJ/mol of formula units. For the formation energy from raw total energies, the calculation gives 467 meV per atom.

=====

(3)
This record from the Alexandria database describes a relaxed structure of SiTe2Se. The functional is PBE.

Lattice parameters (Å, degrees): 3.7184 3.7184 25.2082 90.00 90.00 120.00
With the nearest neighbours (Å) after each atom.
Space group R3m (No. 160, hexagonal axes)
Asymmetric unit:
Si 0.0000 0.0000 0.0000 [3 per cell]  3 Se 2.56, 3 Te 2.79
Te 0.0000 0.0000 0.4966 [3 per cell]  3 Te 3.17
Te 0.0000 0.0000 0.7375 [3 per cell]  3 Si 2.79
Se 0.0000 0.0000 0.2778 [3 per cell]  3 Si 2.56

Calculated values
For the spin magnetization, the calculation gives 0.000 μB/cell. The volume is 301.9 Å³ per cell. For the formation energy from raw total energies, the calculation gives 120 meV per atom.

=====

(4)
This record from the Alexandria database describes a relaxed structure of SiTeSe2. The functional is PBE.

Lattice parameters (Å, degrees): 3.4382 4.9670 13.5317 90.00 90.00 90.00
With the nearest neighbours (Å) after each atom.
Space group Imm2 (No. 44)
Asymmetric unit:
Si 0.0000 0.0000 0.0000 [2 per cell]  2 Se 2.36
Te 0.0000 0.5000 0.6762 [2 per cell]  2 Se 2.71, 2 Si 2.94
Se 0.0000 0.0000 0.5960 [2 per cell]  2 Te 2.71
Se 0.0000 0.5000 0.3810 [2 per cell]  2 Si 2.36

Calculated values
For the spin magnetization, the calculation gives 0.000 μB/cell. The volume is 231.1 Å³ per cell. Its excess energy over the best structure of this formula in the dataset is 138 kJ/mol of formula units. For the formation energy from raw total energies, the calculation gives 172 meV per atom.